No. 1
SiHgW, optimized geometry, DFT GGA-PBEsol; formation energy without anion corrections = 47.9 kJ/mol of atoms; total magnetization = 0.00 Bohr magnetons per cell
1.0
-2.669 0.792 1.000
0.877 -2.819 0.197
2.591 1.222 5.946
Hg Si W
1 1 1
direct
0.000 0.000 0.995
0.333 0.667 0.647
0.667 0.333 0.358



No. 2
SnSbOsI2, optimized geometry, DFT GGA-PBEsol; formation energy without anion corrections = 169.0 kJ/mol of atoms; total magnetization = 3.82 Bohr magnetons per cell
1.0
-3.061 -4.334 2.005
4.742 -2.478 1.883
-0.569 2.718 5.007
I Sb Os Sn
2 1 1 1
direct
0.000 0.500 0.000
0.500 0.000 0.000
0.000 0.000 0.500
0.500 0.500 0.500
0.000 0.000 0.000



No. 3
Ca2Cu, optimized geometry, DFT GGA-PBEsol; energy of formation = 35 meV/atom; total magnetization = 0.00 Bohr magnetons per cell
1.0
7.069 0.000 0.000
0.000 7.069 0.000
0.000 0.000 7.069
Ca Cu
8 4
direct
0.341 0.341 0.341
0.659 0.659 0.659
0.841 0.159 0.659
0.159 0.841 0.341
0.659 0.841 0.159
0.341 0.159 0.841
0.159 0.659 0.841
0.841 0.341 0.159
0.000 0.000 0.000
0.500 0.500 0.000
0.500 0.000 0.500
0.000 0.500 0.500



No. 4
BeRe2Ru, optimized geometry, DFT GGA-PBEsol; energy of formation = 148 meV/atom; total magnetization = 0.00 Bohr magnetons per cell; excess energy over the best structure of this formula in the dataset = 60 kJ/mol of formula units
1.0
2.674 0.106 -0.092
-1.168 4.175 0.102
-0.181 -0.525 4.696
Re Be Ru
2 1 1
direct
0.074 0.994 0.993
0.659 0.511 0.248
0.234 0.488 0.726
0.534 0.008 0.533



Copy entry 1 word for word.
SiHgW, optimized geometry, DFT GGA-PBEsol; formation energy without anion corrections = 47.9 kJ/mol of atoms; total magnetization = 0.00 Bohr magnetons per cell
1.0
-2.669 0.792 1.000
0.877 -2.819 0.197
2.591 1.222 5.946
Hg Si W
1 1 1
direct
0.000 0.000 0.995
0.333 0.667 0.647
0.667 0.333 0.358